{"formula": "TaZnCo2", "functional": "PBE-GGA", "state": "optimized geometry", "delta_e_f_ev_per_atom": 0.35, "magmom_total_mub_per_fu": 2.4, "lattice": [[4.328, 0.000, 0.000], [-2.164, 3.748, 0.000], [0.000, 0.000, 6.874]], "species": ["Ta", "Ta", "Zn", "Zn", "Co", "Co", "Co", "Co"], "fractional_positions": [[0.000, 0.000, 0.250], [0.000, 0.000, 0.750], [0.333, 0.667, 0.250], [0.667, 0.333, 0.750], [0.333, 0.667, 0.590], [0.333, 0.667, 0.910], [0.667, 0.333, 0.090], [0.667, 0.333, 0.410]]}